[1]
Hf2NbHPd: relaxed, PBE.

The structure in extended XYZ format:
```
5
Lattice="4.615 0.000 0.000 0.000 4.615 0.000 0.000 0.000 3.675" Properties=species:S:1:pos:R:3 pbc="T T T"
Hf 0.000 2.307 0.000
Hf 2.307 0.000 0.000
Nb 0.000 0.000 1.838
H 0.000 0.000 0.000
Pd 2.307 2.307 1.838
```

Values from the calculation:
total magnetic moment = 0.00 μB/f.u.
E above lowest polymorph = 0 meV/atom
crystal system = tetragonal
total DFT energy (no corrections) = -40.08 eV per cell

---

[2]
AlTlHg2Cl4: relaxed, PBE.

The structure in extended XYZ format:
```
8
Lattice="6.327 0.000 0.000 -2.348 6.458 0.000 -1.230 -1.576 7.178" Properties=species:S:1:pos:R:3 pbc="T T T"
Al 0.000 0.000 0.000
Tl 0.153 4.379 2.427
Hg -1.130 1.781 4.194
Hg 2.070 0.689 4.196
Cl -0.788 1.985 0.294
Cl 2.160 0.028 0.035
Cl 2.072 4.096 5.292
Cl 3.364 5.153 1.636
```

Values from the calculation:
uncorrected formation energy = -1.039 eV per atom
total magnetic moment = 0.00 μB/f.u.
crystal system = triclinic
total DFT energy (no corrections) = -22.41 eV per cell

---

[3]
KLa2Sc: relaxed, PBE.

The structure in extended XYZ format:
```
4
Lattice="-1.840 3.155 6.351 1.840 -3.155 6.351 1.840 3.155 -6.351" Properties=species:S:1:pos:R:3 pbc="T T T"
K 0.000 0.000 0.000
La 1.840 0.000 3.575
La 0.000 0.000 6.855
Sc 0.000 3.155 3.212
```

Values from the calculation:
total magnetic moment = 0.00 μB/f.u.
calculated formation energy = 0.423 eV/atom
E above lowest polymorph = 231 meV/atom
crystal system = orthorhombic
total DFT energy (no corrections) = -15.59 eV per cell

---

[4]
CaCd2Cu: relaxed, PBE.

The structure in extended XYZ format:
```
4
Lattice="-2.289 2.289 4.169 2.289 -2.289 4.169 2.289 2.289 -4.169" Properties=species:S:1:pos:R:3 pbc="T T T"
Ca 0.000 0.000 0.000
Cd 2.289 0.000 2.085
Cd 0.000 2.289 2.085
Cu 0.000 0.000 4.169
```

Values from the calculation:
total magnetic moment = 0.00 μB/f.u.
calculated formation energy = -0.074 eV/atom
crystal system = tetragonal
total DFT energy (no corrections) = -8.23 eV per cell